Computed, not measured: a crystal of Li4Fe3O2F6 relaxed with PBEsol at the meta-GGA SCAN level of DFT.

Cell: 4.9641 5.2882 5.7803 Å, 72.87 89.00 80.01°
Positions (direct):
Li 0.2359 0.4753 0.1346
Li 0.2575 0.5045 0.6335
Li 0.7425 0.4955 0.3665
Li 0.7641 0.5247 0.8654
Fe 0.0023 0.9970 0.2127
Fe 0.5000 0.0000 0.0000
Fe 0.9977 0.0030 0.7873
O 0.1402 0.2591 0.9320
O 0.8598 0.7409 0.0680
F 0.0960 0.2430 0.4366
F 0.3688 0.7077 0.3140
F 0.3770 0.7370 0.8208
F 0.6230 0.2630 0.1792
F 0.6312 0.2923 0.6860
F 0.9040 0.7570 0.5634

Values from the calculation:
Crystal system: triclinic
Total DFT energy (no corrections) (eV/cell): -133.70

=====

Computed, not measured: a crystal of Ba2InFe relaxed with PBEsol at the meta-GGA SCAN level of DFT.

Cell: 9.9575 9.9575 9.9575 Å, 23.44 23.44 23.44°
Positions (direct):
Ba 0.2387 0.2387 0.2387
Ba 0.7613 0.7613 0.7613
In 0.0000 0.0000 0.0000
Fe 0.5000 0.5000 0.5000

Values from the calculation:
Formation energy (eV per atom): 0.401
Crystal system: trigonal

=====

Computed, not measured: a crystal of Be2SeCl relaxed with PBEsol at the meta-GGA SCAN level of DFT.

Cell: 6.2699 6.2699 6.2699 Å, 132.20 132.20 69.92°
Positions (direct):
Be 0.1088 0.6250 0.9838
Be 0.3750 0.3588 0.4838
Be 0.6412 0.1250 0.0162
Be 0.8750 0.8912 0.5162
Se 0.0000 0.0000 0.0000
Se 0.7500 0.2500 0.5000
Cl 0.2500 0.7500 0.5000
Cl 0.5000 0.5000 0.0000

Values from the calculation:
ΔE to the lowest computed polymorph (kJ/mol of atoms): 14.0
Crystal system: tetragonal

=====

Computed, not measured: a crystal of Re5Si relaxed with PBEsol at the meta-GGA SCAN level of DFT.

Cell: 4.9355 4.9355 4.6741 Å, 90.00 90.00 120.00°
Positions (direct):
Re 0.0000 0.5000 0.0000
Re 0.3333 0.6667 0.5000
Re 0.5000 0.0000 0.0000
Re 0.5000 0.5000 0.0000
Re 0.6667 0.3333 0.5000
Si 0.0000 0.0000 0.5000

Values from the calculation:
Crystal system: hexagonal
Total DFT energy (no corrections) (eV/cell): -360.95

=====

Computed, not measured: a crystal of CsRb2Cd2 relaxed with PBEsol at the meta-GGA SCAN level of DFT.

Cell: 9.6484 9.6484 5.4364 Å, 90.00 90.00 90.00°
Positions (direct):
Cs 0.0000 0.0000 0.0000
Cs 0.5000 0.5000 0.0000
Rb 0.1697 0.3303 0.5000
Rb 0.3303 0.8303 0.5000
Rb 0.6697 0.1697 0.5000
Rb 0.8303 0.6697 0.5000
Cd 0.1058 0.6058 0.0000
Cd 0.3942 0.1058 0.0000
Cd 0.6058 0.8942 0.0000
Cd 0.8942 0.3942 0.0000

Values from the calculation:
Formation energy (eV per atom): -0.021
ΔE to the lowest computed polymorph (kJ/mol of atoms): 0.0
Crystal system: tetragonal

=====

Computed, not measured: a crystal of ErMg5 relaxed with PBEsol at the meta-GGA SCAN level of DFT.

Cell: 3.2188 3.2188 15.8406 Å, 90.00 90.00 120.00°
Positions (direct):
Er 0.0000 0.0000 0.0000
Mg 0.0000 0.0000 0.3385
Mg 0.0000 0.0000 0.6615
Mg 0.6667 0.3333 0.1758
Mg 0.6667 0.3333 0.5000
Mg 0.6667 0.3333 0.8242

Values from the calculation:
Formation energy (eV per atom): 0.012
Crystal system: hexagonal

=====

Computed, not measured: a crystal of HfSbCl3 relaxed with PBEsol at the meta-GGA SCAN level of DFT.

Cell: 4.9855 4.9855 4.9855 Å, 90.00 90.00 90.00°
Positions (direct):
Hf 0.0000 0.0000 0.0000
Sb 0.5000 0.5000 0.5000
Cl 0.0000 0.0000 0.5000
Cl 0.0000 0.5000 0.0000
Cl 0.5000 0.0000 0.0000

Values from the calculation:
Crystal system: cubic
Total DFT energy (no corrections) (eV/cell): -127.22

=====

Computed, not measured: a crystal of ThB4Mo relaxed with PBEsol at the meta-GGA SCAN level of DFT.

Cell: 6.0716 6.0716 3.7355 Å, 90.00 90.00 104.15°
Positions (direct):
Th 0.1980 0.8020 0.0000
Th 0.8020 0.1980 0.0000
B 0.1225 0.4344 0.5000
B 0.1285 0.1285 0.5000
B 0.4101 0.5899 0.5000
B 0.4344 0.1225 0.5000
B 0.5656 0.8775 0.5000
B 0.5899 0.4101 0.5000
B 0.8715 0.8715 0.5000
B 0.8775 0.5656 0.5000
Mo 0.3287 0.3287 0.0000
Mo 0.6713 0.6713 0.0000

Values from the calculation:
Formation energy (eV per atom): -0.570
Crystal system: orthorhombic

=====

Number 1: Fermi-level density of states 1.00 states/eV per cell. Number 2: Fermi-level density of states 3.67 states/eV per cell. Number 3: Fermi-level density of states 3.64 states/eV per cell. Number 4: Fermi-level density of states 5.01 states/eV per cell. Number 5: Fermi-level density of states 7.76 states/eV per cell. Number 6: Fermi-level density of states 3.45 states/eV per cell. Number 7: Fermi-level density of states 1.53 states/eV per cell. Number 8: Fermi-level density of states 3.77 states/eV per cell.